Entry 1:
The following is a PBE-GGA calculation of crystalline PrNd2Mg3In2Hg at its relaxed geometry, from the Open Quantum Materials Database.

a = 4.7355 Å, b = 7.7118 Å, c = 7.7118 Å
α = 120.12°, β = 90.00°, γ = 90.00°
Last column: nearest neighbours and their distance in Å.
Positions (direct):
Pr 0.0000 0.0000 0.0000  1 Hg 3.22, 4 In 3.32, 2 Mg 3.56
Nd 0.0000 0.4163 0.8328  1 Hg 3.20, 4 In 3.31, 2 Mg 3.56
Nd 0.0000 0.8328 0.4163  1 Hg 3.20, 4 In 3.31, 2 Mg 3.56
Mg 0.5000 0.1786 0.4168  2 In 3.00-3.01, 2 Hg 3.00, 2 Mg 3.18
Mg 0.5000 0.4168 0.1786  2 In 3.00-3.01, 2 Hg 3.00, 2 Mg 3.18
Mg 0.5000 0.6550 0.6550  2 Hg 2.99, 2 In 3.01, 2 Mg 3.18
In 0.5000 0.0836 0.7488  3 Mg 3.00-3.01, 4 Nd 3.31, 2 Pr 3.32
In 0.5000 0.7488 0.0836  3 Mg 3.00-3.01, 4 Nd 3.31, 2 Pr 3.32
Hg 0.0000 0.4184 0.4184  6 Mg 2.99-3.00, 2 Nd 3.20, 1 Pr 3.22

Computed properties:
Energy in eV per atom: -3.184
Total magnetization in Bohr magnetons per cell: 0.02

=====

Entry 2:
The following is a PBE-GGA calculation of crystalline K2Dy2HoMg3Cd at its relaxed geometry, from the Open Quantum Materials Database.

a = 4.8693 Å, b = 8.1597 Å, c = 8.1597 Å
α = 119.89°, β = 90.00°, γ = 90.00°
Last column: nearest neighbours and their distance in Å.
Positions (direct):
K 0.0000 0.1665 0.8335  3 Mg 3.30-3.31, 2 Ho 3.53, 4 Dy 3.54
K 0.0000 0.8335 0.1665  3 Mg 3.30-3.31, 2 Ho 3.53, 4 Dy 3.54
Dy 0.5000 0.5004 0.8764  1 Cd 3.08
Dy 0.5000 0.8764 0.5004  1 Cd 3.08
Ho 0.5000 0.1227 0.1227  1 Cd 3.07
Mg 0.0000 0.2828 0.4993  2 Cd 3.01, 2 Mg 3.06, 2 K 3.30
Mg 0.0000 0.4993 0.2828  2 Cd 3.01, 2 Mg 3.06, 2 K 3.30
Mg 0.0000 0.7153 0.7153  2 Cd 3.01, 2 Mg 3.06, 2 K 3.31
Cd 0.5000 0.4981 0.4981  6 Mg 3.01, 1 Ho 3.07, 2 Dy 3.08

Computed properties:
Energy in eV per atom: -1.958
Total magnetization in Bohr magnetons per cell: 0.10